[1]
Rb6H3BrF2 | PBE-GGA | relaxed

Summary:
Uncorrected energy   -3.0025 eV/atom
Size of the total moment   0.08 μB per formula unit

Geometry as POSCAR:
```
Rb6H3BrF2
1.0
4.309 0.000 0.000
0.000 8.785 0.342
-2.155 -2.504 9.158
Rb H Br F
6 3 1 2
Direct
0.323 0.893 0.645
0.671 0.572 0.343
0.677 0.107 0.355
0.002 0.284 0.003
0.998 0.716 0.997
0.329 0.428 0.657
0.500 0.500 0.000
0.832 0.178 0.665
0.168 0.822 0.335
0.500 0.000 0.000
0.827 0.655 0.655
0.173 0.345 0.345
```

---

[2]
RbH2BrF8 | PBE-GGA | relaxed

Summary:
Uncorrected energy   -3.5519 eV/atom
Size of the total moment   0.00 μB per formula unit

Geometry as POSCAR:
```
RbH2BrF8
1.0
5.051 1.060 0.398
1.033 5.042 0.363
0.670 0.739 7.926
Rb H Br F
1 2 1 8
Direct
0.000 0.000 0.500
0.298 0.295 0.737
0.702 0.705 0.263
0.000 0.000 0.000
0.230 0.765 0.171
0.772 0.774 0.058
0.768 0.231 0.171
0.770 0.235 0.829
0.228 0.226 0.942
0.232 0.769 0.829
0.681 0.684 0.387
0.319 0.316 0.613
```

---

[3]
SbHBrF | PBE-GGA | relaxed

Summary:
Size of the total moment   0.00 μB per formula unit
Relative energy among the computed polymorphs   75 kJ/mol of formula units

Geometry as POSCAR:
```
SbHBrF
1.0
3.316 -0.001 -0.092
0.002 4.987 0.000
0.268 2.489 5.643
Sb H Br F
1 1 1 1
Direct
0.088 0.015 0.479
0.446 0.780 0.949
0.064 0.413 0.684
0.544 0.702 0.107
```

---

[4]
SbHBrF | PBE-GGA | relaxed

Summary:
Size of the total moment   0.00 μB per formula unit
Relative energy among the computed polymorphs   101 kJ/mol of formula units

Geometry as POSCAR:
```
SbHBrF
1.0
-4.903 2.446 0.943
0.306 -0.505 2.901
6.548 9.905 1.034
Sb H Br F
2 2 2 2
Direct
0.156 0.000 0.024
0.156 0.500 0.524
0.898 0.000 0.928
0.898 0.500 0.428
0.770 0.000 0.190
0.770 0.500 0.690
0.366 0.000 0.901
0.366 0.500 0.401
```

---

[5]
SbHBrF | PBE-GGA | relaxed

Summary:
Size of the total moment   0.00 μB per formula unit
Relative energy among the computed polymorphs   110 kJ/mol of formula units

Geometry as POSCAR:
```
SbHBrF
1.0
-2.483 0.626 -1.952
-2.730 -1.931 2.871
-0.894 7.062 3.757
Sb H Br F
1 1 1 1
Direct
0.335 0.985 0.558
0.723 0.327 0.006
0.352 0.477 0.064
0.334 0.486 0.562
```

---

[6]
SbHBrF | PBE-GGA | relaxed

Summary:
Size of the total moment   0.00 μB per formula unit
Relative energy among the computed polymorphs   91 kJ/mol of formula units

Geometry as POSCAR:
```
SbHBrF
1.0
3.335 0.000 0.000
-0.001 4.375 0.002
-0.052 -0.030 6.516
Sb H Br F
1 1 1 1
Direct
0.713 0.567 0.918
0.713 0.566 0.615
0.719 0.567 0.352
0.712 0.068 0.896
```

---

[7]
SbHBrF | PBE-GGA | relaxed

Summary:
Size of the total moment   0.00 μB per formula unit
Relative energy among the computed polymorphs   25 kJ/mol of formula units

Geometry as POSCAR:
```
SbHBrF
1.0
-0.265 2.605 -2.202
-1.925 -2.074 -1.923
-5.746 2.296 4.676
Sb H Br F
1 1 1 1
Direct
0.558 0.101 0.919
0.408 0.948 0.457
0.694 0.236 0.251
0.325 0.864 0.563
```

---

[8]
SbHBrF | PBE-GGA | relaxed

Summary:
Size of the total moment   0.00 μB per formula unit
Relative energy among the computed polymorphs   0 kJ/mol of formula units

Geometry as POSCAR:
```
SbHBrF
1.0
4.350 -0.001 -0.002
-2.162 4.282 0.001
-0.032 -2.043 5.533
Sb H Br F
1 1 1 1
Direct
0.356 0.535 0.604
0.565 0.952 0.789
0.441 0.712 0.228
0.894 0.610 0.636
```

---

[9]
SbHBrF | PBE-GGA | relaxed

Summary:
Size of the total moment   0.00 μB per formula unit
Relative energy among the computed polymorphs   99 kJ/mol of formula units

Geometry as POSCAR:
```
SbHBrF
1.0
-2.801 0.559 3.210
-2.094 -1.325 -1.597
1.815 -5.970 2.572
Sb H Br F
1 1 1 1
Direct
0.307 0.000 0.020
0.305 0.000 0.764
0.812 0.500 0.438
0.807 0.000 0.968
```

---

[10]
HSe2BrF | PBE-GGA | relaxed

Summary:
Size of the total moment   0.00 μB per formula unit
Relative energy among the computed polymorphs   0 kJ/mol of formula units

Geometry as POSCAR:
```
HSe2BrF
1.0
4.124 0.000 0.000
0.000 4.124 0.000
0.000 0.000 4.643
H Se Br F
1 2 1 1
Direct
0.000 0.000 0.000
0.000 0.500 0.000
0.500 0.000 0.000
0.000 0.000 0.500
0.500 0.500 0.500
```

---

[11]
HSe2BrF | PBE-GGA | relaxed

Summary:
Size of the total moment   0.87 μB per formula unit
Relative energy among the computed polymorphs   173 kJ/mol of formula units

Geometry as POSCAR:
```
HSe2BrF
1.0
4.376 0.000 0.000
0.000 4.376 0.000
0.000 0.000 6.268
H Se Br F
1 2 1 1
Direct
0.500 0.500 0.500
0.000 0.500 0.000
0.500 0.000 0.000
0.000 0.000 0.500
0.000 0.000 0.000
```

---

[12]
SiHSeBrF | PBE-GGA | relaxed

Summary:
Size of the total moment   0.00 μB per formula unit
Relative energy among the computed polymorphs   24 kJ/mol of formula units

Geometry as POSCAR:
```
SiHSeBrF
1.0
3.641 -0.058 -0.042
0.145 5.402 1.244
-0.003 2.078 6.008
Si H Se Br F
1 1 1 1 1
Direct
0.836 0.831 0.395
0.830 0.948 0.126
0.338 0.983 0.531
0.340 0.485 0.030
0.842 0.489 0.546
```